## MgMn2NbAl (PBE-GGA)

Data for MgMn2NbAl after structural relaxation.

POSCAR file:
```
MgMn2NbAl
1.0
4.4942 0.0000 0.0000
0.0000 4.6041 0.0000
0.0000 0.0000 4.4942
Mg Nb Mn Al
1 1 2 1
Cartesian
0.0000 0.0000 0.0000
2.2471 2.3020 2.2471
0.0000 0.0000 2.2471
2.2471 0.0000 0.0000
0.0000 2.3020 0.0000
```

Output
crystal system	tetragonal
symmetry	P4/mmm
DFT formation energy	1.327	eV per atom
Fermi-level density of states	3.74	states/eV per cell